No. 1
K2TaAu | PBE | optimized geometry

a = 8.6177 Å, b = 8.6177 Å, c = 8.6177 Å
α = 95.32°, β = 95.32°, γ = 144.54°
Last column: nearest neighbours and their distance in Å.
Atoms (fractional coordinates):
K 0.3750 0.2405 0.3655  2 Au 3.26
K 0.7595 0.1250 0.1345  2 Au 3.26
K 0.8750 0.0095 0.6345  2 Au 3.26
K 0.9905 0.6250 0.8655  2 Au 3.26
Ta 0.2500 0.7500 0.5000  2 Au 2.62
Ta 0.5000 0.5000 0.0000  2 Au 2.62
Au 0.0000 0.0000 0.0000  2 Ta 2.62
Au 0.7500 0.2500 0.5000  2 Ta 2.62

Computed properties:
- space-group type = I-42d

***

No. 2
KTaAu2 | PBE | optimized geometry

a = 5.9169 Å, b = 5.9169 Å, c = 5.3037 Å
α = 90.96°, β = 90.96°, γ = 27.23°
Last column: nearest neighbours and their distance in Å.
Atoms (fractional coordinates):
K 0.0000 0.0000 0.0000  2 K 2.79, 5 Au 2.89-3.05
Ta 0.2747 0.2747 0.4892  2 Ta 2.79, 6 Au 2.95-3.01
Au 0.5488 0.5488 0.5015  2 Au 2.79, 2 Ta 2.95, 4 K 3.05
Au 0.7483 0.7483 0.9888  2 Au 2.79, 1 K 2.89, 4 Ta 3.01

Computed properties:
- space-group type = Cm

***

No. 3
K2TaAu | PBE | optimized geometry

a = 6.6345 Å, b = 6.6345 Å, c = 2.8620 Å
α = 90.00°, β = 90.00°, γ = 124.90°
Last column: nearest neighbours and their distance in Å.
Atoms (fractional coordinates):
K 0.0000 0.5000 0.0000  4 K 2.86-3.07
K 0.5000 0.0000 0.0000  4 K 2.86-3.07
Ta 0.0000 0.0000 0.5000  2 Ta 2.86, 2 Au 3.07
Au 0.5000 0.5000 0.5000  2 Au 2.86, 2 Ta 3.07

Computed properties:
- space-group type = Cmmm

***

No. 4
KTaAu2 | PBE | optimized geometry

a = 5.7817 Å, b = 5.7817 Å, c = 5.7817 Å
α = 138.16°, β = 138.16°, γ = 60.66°
Last column: nearest neighbours and their distance in Å.
Atoms (fractional coordinates):
K 0.0000 0.0000 0.0000  8 Au 2.92-3.24, 4 Ta 3.24
Ta 0.2500 0.7500 0.5000  8 Au 2.92-3.24, 4 K 3.24
Au 0.5000 0.5000 0.0000  4 K 2.92, 4 Ta 3.24, 4 Au 3.24
Au 0.7500 0.2500 0.5000  4 Ta 2.92, 4 K 3.24, 4 Au 3.24

Computed properties:
- space-group type = I-4m2

***

Across the entries above, ΔH_f (0 K) takes the values 401 102 372 294 kJ/mol of formula units, respectively.
Across the entries above, E_tot takes the values -3.2924 -4.6111 -3.3686 -4.1148 eV per atom, respectively.